Here is an optimized crystal structure of Pm3ErNi8 from the Alexandria database. Energies are from GGA-PBE.

Summary:
E: -69.57 eV for the cell shown
SG: R3m (160)
Density of states at the Fermi level: 7.458 states/eV/f.u.
M_tot: 0.0 μB per formula unit
Energy of formation from the pure elements: -375 meV/atom

abc: 8.885 8.885 8.885
angles: 33.47 33.47 33.47
Element x y z (fractional)
Pm: 0.000 0.000 0.000
Pm: 0.125 0.125 0.125
Pm: 0.624 0.624 0.624
Er: 0.500 0.500 0.500
Ni: 0.061 0.061 0.561
Ni: 0.061 0.561 0.061
Ni: 0.066 0.562 0.562
Ni: 0.312 0.312 0.312
Ni: 0.561 0.061 0.061
Ni: 0.562 0.066 0.562
Ni: 0.562 0.562 0.066
Ni: 0.813 0.813 0.813

***

Here is an optimized crystal structure of Pm2ErNi2 from the Alexandria database. Energies are from GGA-PBE.

Summary:
E: -53.96 eV for the cell shown
SG: P4/mbm (127)
Density of states at the Fermi level: 4.585 states/eV/f.u.
M_tot: 0.0 μB per formula unit
Energy of formation from the pure elements: -271 meV/atom
Distance to the lowest polymorph of the same formula: 0 meV per atom

abc: 7.629 7.629 3.923
angles: 90.00 90.00 90.00
Element x y z (fractional)
Pm: 0.168 0.332 0.000
Pm: 0.332 0.832 0.000
Pm: 0.668 0.168 0.000
Pm: 0.832 0.668 0.000
Er: 0.000 0.000 0.500
Er: 0.500 0.500 0.500
Ni: 0.122 0.622 0.500
Ni: 0.378 0.122 0.500
Ni: 0.622 0.878 0.500
Ni: 0.878 0.378 0.500

***

Here is an optimized crystal structure of Pm4ErNi5 from the Alexandria database. Energies are from GGA-PBE.

Summary:
E: -55.36 eV for the cell shown
SG: P4/mmm (123)
Density of states at the Fermi level: 8.749 states/eV/f.u.
M_tot: 0.0 μB per formula unit
Energy of formation from the pure elements: -289 meV/atom

abc: 3.425 3.425 17.397
angles: 90.00 90.00 90.00
Element x y z (fractional)
Pm: 0.000 0.000 0.101
Pm: 0.000 0.000 0.304
Pm: 0.000 0.000 0.696
Pm: 0.000 0.000 0.899
Er: 0.000 0.000 0.500
Ni: 0.500 0.500 0.000
Ni: 0.500 0.500 0.203
Ni: 0.500 0.500 0.408
Ni: 0.500 0.500 0.592
Ni: 0.500 0.500 0.797

***

Here is an optimized crystal structure of Pm2ErNi3 from the Alexandria database. Energies are from GGA-PBE.

Summary:
E: -33.29 eV for the cell shown
SG: P4/mmm (123)
Density of states at the Fermi level: 4.542 states/eV/f.u.
M_tot: 0.0 μB per formula unit
Energy of formation from the pure elements: -313 meV/atom

abc: 3.424 3.424 10.288
angles: 90.00 90.00 90.00
Element x y z (fractional)
Pm: 0.000 0.000 0.171
Pm: 0.000 0.000 0.829
Er: 0.000 0.000 0.500
Ni: 0.500 0.500 0.000
Ni: 0.500 0.500 0.347
Ni: 0.500 0.500 0.653

***

Here is an optimized crystal structure of Pm3ErNi from the Alexandria database. Energies are from GGA-PBE.

Summary:
E: -24.32 eV for the cell shown
SG: Pm-3m (221)
Density of states at the Fermi level: 11.387 states/eV/f.u.
M_tot: 0.8 μB per formula unit
Energy of formation from the pure elements: 56 meV/atom

abc: 5.429 5.429 5.429
angles: 90.00 90.00 90.00
Element x y z (fractional)
Pm: 0.000 0.000 0.500
Pm: 0.000 0.500 0.000
Pm: 0.500 0.000 0.000
Er: 0.500 0.500 0.500
Ni: 0.000 0.000 0.000

***

Here is an optimized crystal structure of PmEr3Ni2 from the Alexandria database. Energies are from GGA-PBE.

Summary:
E: -63.42 eV for the cell shown
SG: C2/m (12)
Density of states at the Fermi level: 6.438 states/eV/f.u.
M_tot: 0.0 μB per formula unit
Energy of formation from the pure elements: -285 meV/atom

abc: 8.230 8.230 11.396
angles: 122.58 122.58 27.39
Element x y z (fractional)
Pm: 0.151 0.151 0.244
Pm: 0.849 0.849 0.756
Er: 0.154 0.154 0.747
Er: 0.416 0.416 0.062
Er: 0.418 0.418 0.556
Er: 0.582 0.582 0.444
Er: 0.584 0.584 0.938
Er: 0.846 0.846 0.253
Ni: 0.231 0.231 0.550
Ni: 0.232 0.232 0.049
Ni: 0.768 0.768 0.951
Ni: 0.769 0.769 0.450